## CoMo2OsCl (SCAN)

Data for a crystal of CoMo2OsCl relaxed with PBEsol.

- Magnetization: 0.1 μB/f.u.
- Raw formation energy: 1.819 eV per atom

a = 3.858 Å, b = 4.540 Å, c = 4.540 Å
α = 90.00°, β = 90.00°, γ = 90.00°
Last column: magnetic moment on the atom in μB.
Element x y z (fractional)
Mo 0.000 0.000 0.500  -0.44
Mo 0.000 0.500 0.000  -0.44
Co 0.000 0.000 0.000  -0.14
Cl 0.500 0.000 0.000  0.03
Os 0.500 0.500 0.500  1.06